1.
Here is MgTcPH after structural relaxation from Alexandria. Energies are from PBE.

Properties
Space-group type: No. 99
VASP energy in eV for the cell shown: -22.2

abc: 3.118 3.118 5.387
angles: 90.00 90.00 90.00
Sites, in units of the cell vectors:
Mg (0.000, 0.000, 0.190)
P (0.000, 0.000, 0.716)
Tc (0.500, 0.500, 0.523)
H (0.500, 0.500, 0.201)



2.
Here is MgTcPH after structural relaxation from Alexandria. Energies are from PBE.

Properties
Space-group type: No. 8
VASP energy in eV for the cell shown: -43.3

abc: 4.714 3.016 8.274
angles: 90.00 110.31 90.00
Sites, in units of the cell vectors:
H (0.857, 0.000, 0.528)
H (0.857, 0.500, 0.028)
Tc (0.635, 0.500, 0.529)
Tc (0.635, 0.000, 0.029)
Mg (0.106, 0.500, 0.875)
Mg (0.106, 0.000, 0.375)
P (0.580, 0.500, 0.231)
P (0.580, 0.000, 0.731)



3.
Here is MgTcPH2 after structural relaxation from Alexandria. Energies are from PBE.

Properties
Space-group type: No. 63
VASP energy in eV for the cell shown: -50.7

abc: 3.134 5.409 6.464
angles: 90.00 90.00 106.84
Sites, in units of the cell vectors:
Tc (0.000, 0.000, 0.000)
Tc (0.000, 0.000, 0.500)
H (0.833, 0.665, 0.447)
H (0.833, 0.665, 0.053)
H (0.167, 0.335, 0.553)
H (0.167, 0.335, 0.947)
Mg (0.688, 0.376, 0.750)
Mg (0.312, 0.624, 0.250)
P (0.593, 0.187, 0.250)
P (0.407, 0.813, 0.750)



4.
Here is MgTcPH after structural relaxation from Alexandria. Energies are from PBE.

Properties
Space-group type: No. 8
VASP energy in eV for the cell shown: -43.6

abc: 5.277 3.759 6.538
angles: 90.00 114.23 90.00
Sites, in units of the cell vectors:
Mg (0.290, 0.500, 0.971)
Mg (0.290, 0.000, 0.471)
Tc (0.709, 0.000, 0.278)
Tc (0.709, 0.500, 0.778)
H (0.340, 0.000, 0.153)
H (0.340, 0.500, 0.653)
P (0.838, 0.000, 0.653)
P (0.838, 0.500, 0.153)



Fermi-level density of states, respectively: 1.98 1.93 0.53 0.61 states/eV/f.u..